[1]
The following is a DFT calculation (PBE) of TcGe3Mo after structural relaxation.

a b c (Å): 4.846 9.085 9.085
angles (deg): 68.39 112.09 112.09
Positions (direct):
1 Ge 0.173 0.464 0.350
2 Ge 0.932 0.858 0.354
3 Ge 0.068 0.142 0.646
4 Ge 0.494 0.057 0.278
5 Ge 0.006 0.722 0.943
6 Ge 0.506 0.943 0.722
7 Ge 0.994 0.278 0.057
8 Ge 0.673 0.350 0.464
9 Ge 0.568 0.646 0.142
10 Ge 0.327 0.650 0.536
11 Ge 0.432 0.354 0.858
12 Ge 0.827 0.536 0.650
13 Tc 0.750 0.224 0.776
14 Tc 0.750 0.953 0.047
15 Tc 0.250 0.776 0.224
16 Tc 0.250 0.047 0.953
17 Mo 0.633 0.373 0.163
18 Mo 0.367 0.627 0.837
19 Mo 0.133 0.163 0.373
20 Mo 0.867 0.837 0.627

Calculated values
Volume, Å³ per atom: 16.6
Offset from the most stable computed form, meV/atom: 0
ΔH_f (0 K), eV/atom: 0.104



[2]
The following is a DFT calculation (PBE) of ThTcGe2Mo after structural relaxation.

a b c (Å): 4.174 4.174 6.255
angles (deg): 109.49 109.49 90.00
Site moments in Bohr magnetons follow the coordinates.
Positions (direct):
1 Th 0.000 0.000 0.000  0.02
2 Tc 0.250 0.750 0.500  0.03
3 Mo 0.750 0.250 0.500  0.29
4 Ge 0.382 0.382 0.765  0.00
5 Ge 0.618 0.618 0.235  0.00

Calculated values
Volume, Å³ per atom: 19.2
ΔH_f (0 K), eV/atom: -0.356



[3]
The following is a DFT calculation (PBE) of UTcGeMo after structural relaxation.

a b c (Å): 4.600 4.600 4.600
angles (deg): 60.00 60.00 60.00
Site moments in Bohr magnetons follow the coordinates.
Positions (direct):
1 Ge 0.250 0.250 0.250  0.00
2 Mo 0.000 0.000 0.000  0.07
3 Tc 0.500 0.500 0.500  0.03
4 U 0.750 0.750 0.750  0.49

Calculated values
Volume, Å³ per atom: 17.2
ΔH_f (0 K), eV/atom: 0.016



[4]
The following is a DFT calculation (PBE) of VTcGeMo after structural relaxation.

a b c (Å): 4.335 4.335 4.335
angles (deg): 60.00 60.00 60.00
Positions (direct):
1 V 0.000 0.000 0.000
2 Mo 0.250 0.250 0.250
3 Tc 0.750 0.750 0.750
4 Ge 0.500 0.500 0.500

Calculated values
Volume, Å³ per atom: 14.4
ΔH_f (0 K), eV/atom: -0.159



[5]
The following is a DFT calculation (PBE) of TcGeMoW after structural relaxation.

a b c (Å): 4.418 4.418 4.418
angles (deg): 60.00 60.00 60.00
Positions (direct):
1 Ge 0.250 0.250 0.250
2 W 0.750 0.750 0.750
3 Mo 0.500 0.500 0.500
4 Tc 0.000 0.000 0.000

Calculated values
Volume, Å³ per atom: 15.2
ΔH_f (0 K), eV/atom: 0.049



[6]
The following is a DFT calculation (PBE) of Y2TcGeMo after structural relaxation.

a b c (Å): 5.242 4.844 5.242
angles (deg): 90.00 90.00 90.00
Site moments in Bohr magnetons follow the coordinates.
Positions (direct):
1 Y 0.500 0.000 0.000  -0.07
2 Y 0.000 0.000 0.500  -0.06
3 Mo 0.000 0.000 0.000  0.21
4 Ge 0.000 0.500 0.000  -0.01
5 Tc 0.500 0.500 0.500  2.77

Calculated values
Volume, Å³ per atom: 26.6
ΔH_f (0 K), eV/atom: 0.945



[7]
The following is a DFT calculation (PBE) of Zn2TcGeMo after structural relaxation.

a b c (Å): 4.940 4.590 4.940
angles (deg): 90.00 90.00 90.00
Site moments in Bohr magnetons follow the coordinates.
Positions (direct):
1 Zn 0.000 0.000 0.500  0.01
2 Zn 0.500 0.000 0.000  0.01
3 Ge 0.500 0.500 0.500  -0.01
4 Tc 0.000 0.500 0.000  1.29
5 Mo 0.000 0.000 0.000  -0.08

Calculated values
Volume, Å³ per atom: 22.4
ΔH_f (0 K), eV/atom: 1.268



[8]
The following is a DFT calculation (PBE) of GeTeMo after structural relaxation.

a b c (Å): 6.872 6.995 6.799
angles (deg): 127.97 90.00 90.00
Positions (direct):
1 Ge 0.691 0.641 0.822
2 Ge 0.809 0.641 0.322
3 Ge 0.309 0.359 0.178
4 Ge 0.191 0.359 0.678
5 Mo 0.983 0.291 0.301
6 Mo 0.483 0.709 0.199
7 Mo 0.017 0.709 0.699
8 Mo 0.517 0.291 0.801
9 Te 0.400 0.846 0.679
10 Te 0.900 0.154 0.821
11 Te 0.100 0.846 0.179
12 Te 0.600 0.154 0.321

Calculated values
Volume, Å³ per atom: 21.5
Raw formation energy, eV/atom: 0.063



[9]
The following is a DFT calculation (PBE) of GeTeMo2 after structural relaxation.

a b c (Å): 4.569 4.569 4.569
angles (deg): 60.00 60.00 60.00
Positions (direct):
1 Mo 0.750 0.750 0.750
2 Mo 0.250 0.250 0.250
3 Te 0.500 0.500 0.500
4 Ge 0.000 0.000 0.000

Calculated values
Volume, Å³ per atom: 16.9
Offset from the most stable computed form, meV/atom: 0
Raw formation energy, eV/atom: 0.235



[10]
The following is a DFT calculation (PBE) of GeTe2Mo after structural relaxation.

a b c (Å): 8.972 8.972 8.972
angles (deg): 26.46 26.46 26.46
Site moments in Bohr magnetons follow the coordinates.
Positions (direct):
1 Te 0.898 0.898 0.898  -0.10
2 Te 0.102 0.102 0.102  -0.10
3 Ge 0.500 0.500 0.500  0.02
4 Mo 0.000 0.000 0.000  2.99

Calculated values
Volume, Å³ per atom: 31.6
Raw formation energy, eV/atom: 0.883



[11]
The following is a DFT calculation (PBE) of Ge2TeMo2 after structural relaxation.

a b c (Å): 7.333 7.333 3.287
angles (deg): 90.00 90.00 90.00
Positions (direct):
1 Ge 0.364 0.136 0.500
2 Ge 0.136 0.636 0.500
3 Ge 0.636 0.864 0.500
4 Ge 0.864 0.364 0.500
5 Mo 0.847 0.653 0.000
6 Mo 0.653 0.153 0.000
7 Mo 0.153 0.347 0.000
8 Mo 0.347 0.847 0.000
9 Te 0.500 0.500 0.000
10 Te 0.000 0.000 0.000

Calculated values
Volume, Å³ per atom: 17.7
Raw formation energy, eV/atom: 0.133



[12]
The following is a DFT calculation (PBE) of GeTeMo2 after structural relaxation.

a b c (Å): 4.199 4.199 9.542
angles (deg): 77.29 77.29 90.00
Positions (direct):
1 Ge 0.250 0.750 0.500
2 Ge 0.500 0.500 0.000
3 Te 0.750 0.250 0.500
4 Te 0.000 0.000 0.000
5 Mo 0.192 0.625 0.250
6 Mo 0.875 0.808 0.750
7 Mo 0.375 0.442 0.750
8 Mo 0.558 0.125 0.250

Calculated values
Volume, Å³ per atom: 20.0
Offset from the most stable computed form, meV/atom: 368
Raw formation energy, eV/atom: 0.603